The following is a DFT calculation (GGA-PBE) of an optimized crystal structure of Sc2Au3.

Geometry as POSCAR:
```
Sc2Au3
1.0
0.000 6.980 3.115
4.557 0.000 3.115
4.557 6.980 0.000
Sc Au
4 6
Direct
0.241 0.759 0.353 Sc
0.603 0.897 0.491 Sc
0.759 0.241 0.647 Sc
0.897 0.603 0.009 Sc
0.152 0.864 0.056 Au
0.194 0.322 0.098 Au
0.322 0.194 0.386 Au
0.416 0.416 0.584 Au
0.666 0.666 0.834 Au
0.864 0.152 0.928 Au
```

Calculated values
**DOS(E_F)**: 3.820 states/eV/f.u.
**Energy relative to the elements**: -668 meV/atom
**Total DFT energy (no corrections)**: -5.167 eV/atom

---

The following is a DFT calculation (GGA-PBE) of an optimized crystal structure of Sc3Au.

Geometry as POSCAR:
```
Sc3Au
1.0
6.289 0.000 0.000
-3.144 5.446 0.000
0.000 0.000 4.940
Sc Au
6 2
Direct
0.174 0.347 0.250 Sc
0.174 0.826 0.250 Sc
0.347 0.174 0.750 Sc
0.653 0.826 0.250 Sc
0.826 0.174 0.750 Sc
0.826 0.653 0.750 Sc
0.333 0.667 0.750 Au
0.667 0.333 0.250 Au
```

Calculated values
**DOS(E_F)**: 2.970 states/eV/f.u.
**Energy relative to the elements**: -384 meV/atom
**Total DFT energy (no corrections)**: -5.952 eV/atom